Record 1
Compound: Ba2AsO
Source: Alexandria via LeMat-Bulk
Functional: meta-GGA SCAN
Structure: single point on PBEsol structure

Unit cell a=6.8552 b=6.8552 c=6.8552 alpha=113.38 beta=113.38 gamma=101.91
With the nearest neighbours (Å) after each atom.
Atoms (fractional coordinates):
Ba  0.0468  0.6250  0.9218  2 O 2.53
Ba  0.3750  0.2968  0.4218  2 O 2.53
Ba  0.7032  0.1250  0.0782  2 O 2.53
Ba  0.8750  0.9532  0.5782  2 O 2.53
As  0.2500  0.7500  0.5000  4 Ba 3.29
As  0.5000  0.5000  0.0000  4 Ba 3.29
O  0.0000  0.0000  0.0000  4 Ba 2.53
O  0.7500  0.2500  0.5000  4 Ba 2.53

Calculated total energy: -224.71 eV/cell
DOS(E_F): 1.2 states/eV per cell
Space group: I-42d, No. 122



Record 2
Compound: ReSb2As
Source: Alexandria via LeMat-Bulk
Functional: meta-GGA SCAN
Structure: single point on PBEsol structure

Unit cell a=3.0356 b=3.0356 c=9.8818 alpha=90.00 beta=90.00 gamma=115.97
With the nearest neighbours (Å) after each atom.
Atoms (fractional coordinates):
Re  0.0000  0.0000  0.0000  4 Sb 2.73, 4 Re 3.04
Sb  0.5000  0.5000  0.2227  2 Re 2.73, 4 Sb 3.04
Sb  0.5000  0.5000  0.7773  2 Re 2.73, 4 Sb 3.04
As  0.0000  0.0000  0.5000  6 As 3.04-3.22, 4 Sb 3.18

Calculated total energy: -162.74 eV/cell
DOS(E_F): 2.8 states/eV per cell
Space group: Cmmm, No. 65



Record 3
Compound: Sn3AsIr
Source: Alexandria via LeMat-Bulk
Functional: meta-GGA SCAN
Structure: single point on PBEsol structure

Unit cell a=5.0619 b=5.0619 c=5.0619 alpha=90.00 beta=90.00 gamma=90.00
With the nearest neighbours (Å) after each atom.
Atoms (fractional coordinates):
Sn  0.0000  0.0000  0.5000  2 As 2.53
Sn  0.0000  0.5000  0.0000  2 As 2.53
Sn  0.5000  0.0000  0.0000  2 As 2.53
As  0.0000  0.0000  0.0000  6 Sn 2.53
Ir  0.5000  0.5000  0.5000  12 Sn 3.58

Calculated total energy: -192.12 eV/cell
DOS(E_F): 2.7 states/eV per cell
Space group: Pm-3m, No. 221



Question: What is the formula in the second record?
Answer: ReSb2As



Copy entry 3 word for word.
Compound: Sn3AsIr
Source: Alexandria via LeMat-Bulk
Functional: meta-GGA SCAN
Structure: single point on PBEsol structure

Unit cell a=5.0619 b=5.0619 c=5.0619 alpha=90.00 beta=90.00 gamma=90.00
With the nearest neighbours (Å) after each atom.
Atoms (fractional coordinates):
Sn  0.0000  0.0000  0.5000  2 As 2.53
Sn  0.0000  0.5000  0.0000  2 As 2.53
Sn  0.5000  0.0000  0.0000  2 As 2.53
As  0.0000  0.0000  0.0000  6 Sn 2.53
Ir  0.5000  0.5000  0.5000  12 Sn 3.58

Calculated total energy: -192.12 eV/cell
DOS(E_F): 2.7 states/eV per cell
Space group: Pm-3m, No. 221